First-principles (PBE) data for a relaxed structure of CeHgN, as listed in Alexandria via LeMat-Bulk.

* energy relative to the elements, uncorrected: -1.9 eV per formula unit
* VASP energy: -5.50 eV per atom

Geometry as POSCAR:
```
CeHgN
1.0
-1.649 1.649 6.289
1.649 -1.649 6.289
1.649 1.649 -6.289
Ce Hg N
1 1 1
direct
0.000 0.000 0.000
0.275 0.275 0.000
0.530 0.530 0.000
```

***

First-principles (PBE) data for a relaxed structure of TiMnPd2, as listed in Alexandria via LeMat-Bulk.

* formation enthalpy at 0 K: -0.210 eV per atom
* VASP energy: -7.07 eV per atom

Geometry as POSCAR:
```
TiMnPd2
1.0
1.434 0.828 8.713
-1.434 0.828 8.713
0.000 -1.656 8.713
Ti Mn Pd
1 1 2
direct
0.000 0.000 0.000
0.834 0.834 0.834
0.416 0.416 0.416
0.584 0.584 0.584
```

***

First-principles (PBE) data for a relaxed structure of NaMgInCu, as listed in Alexandria via LeMat-Bulk.

* formation enthalpy at 0 K: 0.060 eV per atom
* VASP energy: -2.38 eV per atom

Geometry as POSCAR:
```
NaMgInCu
1.0
0.000 3.422 3.422
3.422 0.000 3.422
3.422 3.422 0.000
Na Mg In Cu
1 1 1 1
direct
0.000 0.000 0.000
0.250 0.250 0.250
0.500 0.500 0.500
0.750 0.750 0.750
```